Entry 1:
Crystalline MnNb2SbN at its relaxed geometry. Source: Alexandria, functional PBE.

Properties
- Calculated volume: 15.08 Å³/atom
- Fermi-level density of states: 0.726 states/eV/atom
- ΔE_f (raw): -0.38 eV per atom
- Symmetry: No. 123

POSCAR file:
```
MnNb2SbN
1.0
4.416 0.000 0.000
0.000 3.867 0.000
0.000 0.000 4.416
N Nb Mn Sb
1 2 1 1
Direct
0.000 0.000 0.000 N
0.500 0.000 0.000 Nb
0.000 0.000 0.500 Nb
0.000 0.500 0.000 Mn
0.500 0.500 0.500 Sb
```

***

Entry 2:
Crystalline Mn2NbSbN at its relaxed geometry. Source: Alexandria, functional PBE.

Properties
- Calculated volume: 20.06 Å³/atom
- Fermi-level density of states: 0.945 states/eV/atom
- ΔE_f (raw): 1.58 eV per atom
- Symmetry: No. 123

POSCAR file:
```
Mn2NbSbN
1.0
4.949 0.000 0.000
0.000 4.095 0.000
0.000 0.000 4.949
N Nb Mn Sb
1 1 2 1
Direct
0.000 0.500 0.000 N
0.500 0.500 0.500 Nb
0.000 0.000 0.500 Mn
0.500 0.000 0.000 Mn
0.000 0.000 0.000 Sb
```

***

Entry 3:
Crystalline Sc2MnNbN4 at its relaxed geometry. Source: Alexandria, functional PBE.

Properties
- Calculated volume: 10.44 Å³/atom
- Fermi-level density of states: 0.284 states/eV/atom
- ΔE_f (raw): -1.22 eV per atom
- Symmetry: No. 10

POSCAR file:
```
Sc2MnNbN4
1.0
3.112 0.000 0.000
0.000 5.290 0.069
0.000 -1.872 5.051
N Sc Mn Nb
4 2 1 1
Direct
0.500 0.758 0.763 N
0.000 0.751 0.246 N
0.000 0.249 0.754 N
0.500 0.242 0.237 N
0.500 0.000 0.500 Sc
0.000 0.500 0.500 Sc
0.000 0.000 0.000 Mn
0.500 0.500 0.000 Nb
```

***

Entry 4:
Crystalline Sm2MnNbN5 at its relaxed geometry. Source: Alexandria, functional PBE.

Properties
- Calculated volume: 12.83 Å³/atom
- Fermi-level density of states: 0.343 states/eV/atom
- ΔE_f (raw): -0.99 eV per atom
- Symmetry: No. 36

POSCAR file:
```
Sm2MnNbN5
1.0
3.270 0.000 0.000
-1.635 7.033 0.000
0.000 0.000 10.043
N Nb Sm Mn
10 2 4 2
Direct
0.343 0.685 0.007 N
0.657 0.315 0.507 N
0.323 0.647 0.378 N
0.967 0.935 0.515 N
0.700 0.400 0.161 N
0.677 0.353 0.878 N
0.499 0.999 0.782 N
0.033 0.065 0.015 N
0.300 0.600 0.661 N
0.501 0.001 0.282 N
0.207 0.413 0.023 Nb
0.793 0.587 0.523 Nb
0.129 0.259 0.323 Sm
0.871 0.741 0.823 Sm
0.882 0.763 0.192 Sm
0.118 0.237 0.692 Sm
0.547 0.095 0.943 Mn
0.453 0.905 0.443 Mn
```

***

Entry 5:
Crystalline MnNb2SnN at its relaxed geometry. Source: Alexandria, functional PBE.

Properties
- Calculated volume: 15.07 Å³/atom
- Fermi-level density of states: 0.558 states/eV/atom
- ΔE_f (raw): -0.40 eV per atom
- Symmetry: No. 123

POSCAR file:
```
MnNb2SnN
1.0
4.403 0.000 0.000
0.000 4.403 0.000
0.000 0.000 3.886
Sn Nb Mn N
1 2 1 1
Direct
0.500 0.500 0.500 Sn
0.500 0.000 0.000 Nb
0.000 0.500 0.000 Nb
0.000 0.000 0.500 Mn
0.000 0.000 0.000 N
```

***

Entry 6:
Crystalline SrMnNb2N4 at its relaxed geometry. Source: Alexandria, functional PBE.

Properties
- Calculated volume: 12.01 Å³/atom
- Fermi-level density of states: 0.486 states/eV/atom
- ΔE_f (raw): -0.84 eV per atom
- Symmetry: No. 63

POSCAR file:
```
SrMnNb2N4
1.0
3.199 0.000 0.000
-1.600 5.498 0.000
0.000 0.000 10.931
N Sr Mn Nb
8 2 2 4
Direct
0.000 0.000 0.500 N
0.267 0.535 0.113 N
0.733 0.465 0.887 N
0.420 0.840 0.750 N
0.267 0.535 0.387 N
0.000 0.000 0.000 N
0.580 0.160 0.250 N
0.733 0.465 0.613 N
0.899 0.797 0.250 Sr
0.101 0.203 0.750 Sr
0.164 0.329 0.250 Mn
0.836 0.671 0.750 Mn
0.369 0.737 0.544 Nb
0.369 0.737 0.956 Nb
0.631 0.263 0.456 Nb
0.631 0.263 0.044 Nb
```

***

Entry 7:
Crystalline Mn2NbTcN at its relaxed geometry. Source: Alexandria, functional PBE.

Properties
- ΔE to the lowest computed polymorph: 7.5 meV per atom
- Calculated volume: 12.25 Å³/atom
- Fermi-level density of states: 1.331 states/eV/atom
- ΔE_f (raw): -0.19 eV per atom
- Symmetry: No. 123

POSCAR file:
```
Mn2NbTcN
1.0
-1.232 -0.535 3.559
-2.650 -2.410 -1.279
2.709 -3.219 0.453
Tc Mn N Nb
1 2 1 1
Direct
0.500 0.500 0.500 Tc
0.500 0.000 0.000 Mn
0.000 0.500 0.000 Mn
0.000 0.000 0.000 N
0.000 0.000 0.500 Nb
```

***

Entry 8:
Crystalline Mn2NbTcN at its relaxed geometry. Source: Alexandria, functional PBE.

Properties
- ΔE to the lowest computed polymorph: 0.0 meV per atom
- Calculated volume: 12.01 Å³/atom
- Fermi-level density of states: 0.862 states/eV/atom
- ΔE_f (raw): -0.20 eV per atom
- Symmetry: No. 123

POSCAR file:
```
Mn2NbTcN
1.0
3.850 0.000 0.000
0.000 3.850 0.000
0.000 0.000 4.050
Mn N Tc Nb
2 1 1 1
Direct
0.000 0.500 0.000 Mn
0.500 0.000 0.000 Mn
0.000 0.000 0.000 N
0.000 0.000 0.500 Tc
0.500 0.500 0.500 Nb
```

***

Entry 9:
Crystalline MnNbTeN2 at its relaxed geometry. Source: Alexandria, functional PBE.

Properties
- ΔE to the lowest computed polymorph: 542.9 meV per atom
- Calculated volume: 15.45 Å³/atom
- Fermi-level density of states: 0.685 states/eV/atom
- ΔE_f (raw): 0.94 eV per atom
- Symmetry: No. 123

POSCAR file:
```
MnNbTeN2
1.0
3.837 0.000 0.000
0.000 3.837 0.000
0.000 0.000 5.246
N Nb Mn Te
2 1 1 1
Direct
0.000 0.500 0.000 N
0.500 0.000 0.000 N
0.500 0.500 0.500 Nb
0.000 0.000 0.000 Mn
0.000 0.000 0.500 Te
```

***

Entry 10:
Crystalline MnNbTeN2 at its relaxed geometry. Source: Alexandria, functional PBE.

Properties
- ΔE to the lowest computed polymorph: 0.0 meV per atom
- Calculated volume: 19.14 Å³/atom
- Fermi-level density of states: 0.714 states/eV/atom
- ΔE_f (raw): 0.40 eV per atom
- Symmetry: No. 123

POSCAR file:
```
MnNbTeN2
1.0
4.034 0.000 0.000
0.000 4.034 0.000
0.000 0.000 5.881
Nb Te N Mn
1 1 2 1
Direct
0.000 0.000 0.000 Nb
0.000 0.000 0.500 Te
0.000 0.500 0.000 N
0.500 0.000 0.000 N
0.500 0.500 0.500 Mn
```

***

Entry 11:
Crystalline Mn2NbZnN at its relaxed geometry. Source: Alexandria, functional PBE.

Properties
- Calculated volume: 12.59 Å³/atom
- Fermi-level density of states: 0.907 states/eV/atom
- ΔE_f (raw): -0.25 eV per atom
- Symmetry: No. 123

POSCAR file:
```
Mn2NbZnN
1.0
-2.863 -1.415 -2.119
2.545 -1.737 -2.279
-0.133 -3.477 2.503
Mn Nb Zn N
2 1 1 1
Direct
0.000 0.500 0.000 Mn
0.500 0.000 0.000 Mn
0.000 0.000 0.500 Nb
0.500 0.500 0.500 Zn
0.000 0.000 0.000 N
```

***

Entry 12:
Crystalline Nd2MnN4 at its relaxed geometry. Source: Alexandria, functional PBE.

Properties
- ΔE to the lowest computed polymorph: 41.1 meV per atom
- Calculated volume: 14.52 Å³/atom
- Fermi-level density of states: 0.476 states/eV/atom
- ΔE_f (raw): -0.86 eV per atom
- Symmetry: No. 11

POSCAR file:
```
Nd2MnN4
1.0
-1.962 -2.795 -4.505
-0.717 -4.410 3.049
-5.407 3.094 3.202
N Nd Mn
8 4 2
Direct
0.527 0.004 0.737 N
0.473 0.996 0.263 N
0.930 0.250 0.647 N
0.473 0.504 0.263 N
0.527 0.496 0.737 N
0.112 0.750 0.950 N
0.070 0.750 0.353 N
0.888 0.250 0.050 N
0.287 0.250 0.960 Nd
0.713 0.750 0.040 Nd
0.218 0.250 0.435 Nd
0.782 0.750 0.565 Nd
0.732 0.250 0.795 Mn
0.268 0.750 0.205 Mn
```

***

Entry 13:
Crystalline Nd3Mn5N12 at its relaxed geometry. Source: Alexandria, functional PBE.

Properties
- Calculated volume: 11.97 Å³/atom
- Fermi-level density of states: 0.320 states/eV/atom
- ΔE_f (raw): -0.43 eV per atom
- Symmetry: No. 230

POSCAR file:
```
Nd3Mn5N12
1.0
-4.026 9.889 1.297
-3.177 -3.948 -9.486
-3.540 -6.377 7.904
Mn N Nd
20 48 12
Direct
0.500 0.500 0.000 Mn
0.375 0.125 0.750 Mn
0.500 0.500 0.500 Mn
0.625 0.750 0.875 Mn
0.000 0.000 0.500 Mn
0.875 0.250 0.625 Mn
0.625 0.875 0.250 Mn
0.125 0.375 0.250 Mn
0.375 0.250 0.125 Mn
0.000 0.000 0.000 Mn
0.750 0.625 0.375 Mn
0.000 0.500 0.500 Mn
0.750 0.125 0.875 Mn
0.500 0.000 0.500 Mn
0.875 0.625 0.750 Mn
0.500 0.000 0.000 Mn
0.000 0.500 0.000 Mn
0.125 0.750 0.375 Mn
0.250 0.875 0.125 Mn
0.250 0.375 0.625 Mn
0.893 0.812 0.504 N
0.188 0.081 0.692 N
0.390 0.996 0.808 N
0.308 0.890 0.996 N
0.496 0.808 0.890 N
0.312 0.808 0.419 N
0.812 0.893 0.004 N
0.110 0.419 0.107 N
0.004 0.393 0.812 N
0.419 0.110 0.607 N
0.192 0.504 0.610 N
0.312 0.504 0.393 N
0.110 0.692 0.504 N
0.890 0.308 0.496 N
0.607 0.996 0.688 N
0.504 0.192 0.110 N
0.692 0.581 0.188 N
0.393 0.004 0.312 N
0.919 0.812 0.808 N
0.919 0.107 0.610 N
0.808 0.496 0.390 N
0.390 0.393 0.081 N
0.688 0.192 0.581 N
0.192 0.688 0.081 N
0.188 0.107 0.996 N
0.004 0.610 0.692 N
0.419 0.308 0.312 N
0.081 0.893 0.390 N
0.607 0.610 0.419 N
0.504 0.312 0.893 N
0.610 0.607 0.919 N
0.692 0.110 0.004 N
0.996 0.607 0.188 N
0.610 0.004 0.192 N
0.308 0.419 0.812 N
0.890 0.581 0.893 N
0.496 0.688 0.107 N
0.996 0.390 0.308 N
0.393 0.390 0.581 N
0.107 0.188 0.496 N
0.581 0.692 0.688 N
0.081 0.188 0.192 N
0.893 0.081 0.890 N
0.808 0.312 0.919 N
0.812 0.919 0.308 N
0.107 0.919 0.110 N
0.581 0.890 0.393 N
0.688 0.496 0.607 N
0.875 0.750 0.125 Nd
0.875 0.125 0.250 Nd
0.250 0.125 0.375 Nd
0.625 0.375 0.750 Nd
0.250 0.625 0.875 Nd
0.750 0.375 0.125 Nd
0.750 0.875 0.625 Nd
0.125 0.250 0.875 Nd
0.375 0.750 0.625 Nd
0.125 0.875 0.750 Nd
0.375 0.625 0.250 Nd
0.625 0.250 0.375 Nd
```

***

Entry 14:
Crystalline Nd2MnN4 at its relaxed geometry. Source: Alexandria, functional PBE.

Properties
- ΔE to the lowest computed polymorph: 0.0 meV per atom
- Calculated volume: 13.86 Å³/atom
- Fermi-level density of states: 0.359 states/eV/atom
- ΔE_f (raw): -0.90 eV per atom
- Symmetry: No. 62

POSCAR file:
```
Nd2MnN4
1.0
-2.816 -1.736 4.336
-3.499 -4.702 -4.155
6.979 -6.795 1.812
N Mn Nd
16 4 8
Direct
0.495 0.682 0.851 N
0.750 0.018 0.917 N
0.495 0.182 0.649 N
0.250 0.806 0.589 N
0.005 0.682 0.851 N
0.250 0.482 0.417 N
0.750 0.694 0.089 N
0.250 0.306 0.911 N
0.750 0.194 0.411 N
0.505 0.318 0.149 N
0.995 0.818 0.351 N
0.505 0.818 0.351 N
0.750 0.518 0.583 N
0.995 0.318 0.149 N
0.005 0.182 0.649 N
0.250 0.982 0.083 N
0.250 0.721 0.423 Mn
0.750 0.279 0.577 Mn
0.750 0.779 0.923 Mn
0.250 0.221 0.077 Mn
0.750 0.352 0.929 Nd
0.250 0.490 0.687 Nd
0.750 0.852 0.571 Nd
0.250 0.148 0.429 Nd
0.750 0.510 0.313 Nd
0.750 0.010 0.187 Nd
0.250 0.990 0.813 Nd
0.250 0.648 0.071 Nd
```

***

Entry 15:
Crystalline NdNp2MnN4 at its relaxed geometry. Source: Alexandria, functional PBE.

Properties
- Calculated volume: 13.81 Å³/atom
- Fermi-level density of states: 1.013 states/eV/atom
- ΔE_f (raw): -1.04 eV per atom
- Symmetry: No. 63

POSCAR file:
```
NdNp2MnN4
1.0
3.398 0.000 0.000
-1.699 5.743 0.000
0.000 0.000 11.321
N Np Nd Mn
8 4 2 2
Direct
0.732 0.464 0.885 N
0.000 0.000 0.500 N
0.000 0.000 0.000 N
0.732 0.464 0.615 N
0.268 0.536 0.385 N
0.268 0.536 0.115 N
0.438 0.875 0.750 N
0.562 0.125 0.250 N
0.369 0.738 0.945 Np
0.631 0.262 0.055 Np
0.631 0.262 0.445 Np
0.369 0.738 0.555 Np
0.897 0.794 0.250 Nd
0.103 0.206 0.750 Nd
0.161 0.321 0.250 Mn
0.839 0.679 0.750 Mn
```

***

Entry 16:
Crystalline NdPa3Mn4N12 at its relaxed geometry. Source: Alexandria, functional PBE.

Properties
- Calculated volume: 15.47 Å³/atom
- Fermi-level density of states: 0.367 states/eV/atom
- ΔE_f (raw): -0.59 eV per atom
- Symmetry: No. 155

POSCAR file:
```
NdPa3Mn4N12
1.0
-1.123 -4.747 -5.103
3.478 -3.546 5.016
-6.384 1.215 2.759
N Pa Mn Nd
12 3 4 1
Direct
0.205 0.349 0.972 N
0.500 0.109 0.891 N
0.028 0.651 0.795 N
0.344 0.656 0.500 N
0.891 0.500 0.109 N
0.651 0.795 0.028 N
0.656 0.500 0.344 N
0.109 0.891 0.500 N
0.500 0.344 0.656 N
0.972 0.205 0.349 N
0.349 0.972 0.205 N
0.795 0.028 0.651 N
0.000 0.547 0.453 Pa
0.453 0.000 0.547 Pa
0.547 0.453 0.000 Pa
0.500 0.953 0.047 Mn
0.047 0.500 0.953 Mn
0.953 0.047 0.500 Mn
0.500 0.500 0.500 Mn
0.000 0.000 0.000 Nd
```

***

Entry 17:
Crystalline Nd2PaMn2N6 at its relaxed geometry. Source: Alexandria, functional PBE.

Properties
- Calculated volume: 14.67 Å³/atom
- Fermi-level density of states: 0.447 states/eV/atom
- ΔE_f (raw): -0.82 eV per atom
- Symmetry: No. 166

POSCAR file:
```
Nd2PaMn2N6
1.0
-2.466 -4.508 2.353
-0.239 -4.888 -2.827
4.211 -4.721 2.156
N Nd Mn Pa
6 2 2 1
Direct
0.744 0.232 0.280 N
0.256 0.768 0.720 N
0.768 0.256 0.720 N
0.232 0.744 0.280 N
0.256 0.256 0.720 N
0.744 0.744 0.280 N
0.209 0.209 0.372 Nd
0.791 0.791 0.628 Nd
0.596 0.596 0.211 Mn
0.404 0.404 0.789 Mn
0.000 0.000 0.000 Pa
```

***

Entry 18:
Crystalline Pr2NdMnN4 at its relaxed geometry. Source: Alexandria, functional PBE.

Properties
- Calculated volume: 16.01 Å³/atom
- Fermi-level density of states: 0.446 states/eV/atom
- ΔE_f (raw): -0.93 eV per atom
- Symmetry: No. 63

POSCAR file:
```
Pr2NdMnN4
1.0
3.519 0.000 0.000
-1.760 5.950 0.000
0.000 0.000 12.231
N Pr Mn Nd
8 4 2 2
Direct
0.274 0.549 0.138 N
0.419 0.838 0.750 N
0.000 0.000 0.000 N
0.726 0.451 0.862 N
0.274 0.549 0.362 N
0.000 0.000 0.500 N
0.726 0.451 0.638 N
0.581 0.162 0.250 N
0.632 0.264 0.045 Pr
0.368 0.736 0.955 Pr
0.632 0.264 0.455 Pr
0.368 0.736 0.545 Pr
0.833 0.665 0.750 Mn
0.167 0.335 0.250 Mn
0.894 0.788 0.250 Nd
0.106 0.212 0.750 Nd
```